i | VASP calculation (PBE-GGA) on a geometry-optimized MnCoTeS structure.

Lattice parameters (Å, degrees): 3.8953 3.8953 6.4583 90.64 90.64 60.20
With the nearest neighbours (Å) after each atom.
Fractional positions:
1 Mn 0.0000 0.0000 0.0000  3 S 2.42-2.43, 3 Co 2.58-2.60
2 Co 0.6669 0.6669 0.1975  1 S 2.17
3 Te 0.3349 0.3349 0.3474  3 Co 2.45
4 S 0.6638 0.6638 0.8611  1 Co 2.17, 3 Mn 2.42-2.43

Calculated values
Its size of the total moment is 0.72 μB per atom.


ii | VASP calculation (PBE-GGA) on a geometry-optimized MnCoTeS structure.

Lattice parameters (Å, degrees): 4.1622 4.1622 5.5789 91.91 91.91 47.40
With the nearest neighbours (Å) after each atom.
Fractional positions:
1 Mn 0.0000 0.0000 0.0000  3 S 2.22-2.31
2 Co 0.2896 0.2896 0.2637  2 S 2.28
3 Te 0.9942 0.9942 0.4924  3 Co 2.59-2.63, 2 Mn 2.75-2.83
4 S 0.7085 0.7085 0.0056  3 Mn 2.22-2.31, 2 Co 2.28

Calculated values
Its size of the total moment is 0.73 μB per atom.


iii | VASP calculation (PBE-GGA) on a geometry-optimized MnCoTeS structure.

Lattice parameters (Å, degrees): 6.7496 6.7496 6.7496 29.83 29.83 29.83
With the nearest neighbours (Å) after each atom.
Fractional positions:
1 Mn 0.0000 0.0000 0.0000  3 S 2.48, 1 Co 2.53
2 Co 0.8690 0.8690 0.8690  3 S 2.28, 1 Mn 2.53
3 Te 0.4394 0.4394 0.4394  3 Co 2.74, 3 Mn 2.87
4 S 0.2580 0.2580 0.2580  3 Co 2.28, 3 Mn 2.48

Calculated values
Its size of the total moment is 0.61 μB per atom.


In terms of stability, i leads; the second structure lies 47 meV/atom higher.